1.
Computed, not measured: a relaxed CrNi2AsSe crystal at the PBE level of DFT.

Lattice parameters (Å, degrees): 4.2661 4.2661 5.3332 90.00 90.00 90.00
Fractional coordinates of all 5 atoms:
1 Cr 0.0000 0.0000 0.0000
2 Ni 0.0000 0.5000 0.5000
3 Ni 0.5000 0.0000 0.5000
4 As 0.5000 0.5000 0.0000
5 Se 0.5000 0.5000 0.5000

Space group = P4/mmm (123)

=====

2.
Computed, not measured: a relaxed CrNiAsSe crystal at the PBE level of DFT.

Lattice parameters (Å, degrees): 3.3099 3.3099 6.2410 90.00 90.00 90.00
Fractional coordinates of all 4 atoms:
1 Cr 0.0000 0.0000 0.0000
2 Ni 0.5000 0.5000 0.7501
3 As 0.0000 0.0000 0.6004
4 Se 0.5000 0.5000 0.1417

ΔE to the lowest computed polymorph = 60 meV/atom
Space group = P4mm (99)

=====

3.
Computed, not measured: a relaxed CrNiAsSe crystal at the PBE level of DFT.

Lattice parameters (Å, degrees): 3.2509 6.1348 6.1348 31.88 90.00 90.00
Fractional coordinates of all 4 atoms:
1 Cr 0.0000 0.0000 0.0000
2 Ni 0.5000 0.1980 0.1980
3 As 0.0000 0.6562 0.6562
4 Se 0.5000 0.4038 0.4038

ΔE to the lowest computed polymorph = 13 meV/atom
Space group = Amm2 (38)

=====

4.
Computed, not measured: a relaxed CrNiAsSe crystal at the PBE level of DFT.

Lattice parameters (Å, degrees): 3.8089 3.8096 7.0771 90.13 104.56 119.95
Fractional coordinates of all 4 atoms:
1 Cr 0.0000 0.0000 0.0000
2 Ni 0.4731 0.7370 0.2240
3 As 0.2175 0.1099 0.3484
4 Se 0.2457 0.6221 0.8597

ΔE to the lowest computed polymorph = 104 meV/atom
Space group = P1 (1)

=====

5.
Computed, not measured: a relaxed CrNiAsSe crystal at the PBE level of DFT.

Lattice parameters (Å, degrees): 3.8380 4.2866 4.6680 89.59 77.68 69.41
Fractional coordinates of all 4 atoms:
1 Cr 0.0000 0.0000 0.0000
2 Ni 0.3068 0.1669 0.4449
3 As 0.9297 0.8206 0.5067
4 Se 0.3606 0.3694 0.9621

ΔE to the lowest computed polymorph = 124 meV/atom
Space group = P1 (1)

=====

6.
Computed, not measured: a relaxed CrNiAsSe crystal at the PBE level of DFT.

Lattice parameters (Å, degrees): 3.1348 3.1348 7.4017 90.00 90.00 120.00
Fractional coordinates of all 4 atoms:
1 Cr 0.0000 0.0000 0.0000
2 Ni 0.6667 0.3333 0.5323
3 As 0.3333 0.6667 0.7414
4 Se 0.6667 0.3333 0.2101

ΔE to the lowest computed polymorph = 197 meV/atom
Space group = P3m1 (156)

=====

E_form (uncorrected) list, top to bottom, in meV per atom: 703; -171; -218; -127; -107; -34